Entry 1:
This record from the Open Quantum Materials Database describes a geometry-optimized SmGdSi2Mo2C structure. The functional is PBE.

Cell and atoms, written as CIF:
```
data_SmGdSi2Mo2C
_chemical_formula_sum 'Sm1 Gd1 Si2 Mo2 C1'
_space_group_name_H-M_alt 'P 1'
_space_group_IT_number 1
_space_group_name_Hall 'P 1'
_cell_length_a 5.9186
_cell_length_b 5.9186
_cell_length_c 7.2336
_cell_angle_alpha 123.54
_cell_angle_beta 123.54
_cell_angle_gamma 38.11
loop_
_atom_site_label
_atom_site_type_symbol
_atom_site_fract_x
_atom_site_fract_y
_atom_site_fract_z
_atom_site_occupancy
Sm1 Sm 0.0000 0.0000 0.0000 1
Gd1 Gd 0.8493 0.8493 0.4042 1
Si1 Si 0.2913 0.2913 0.0332 1
Si2 Si 0.5566 0.5566 0.3697 1
Mo1 Mo 0.2181 0.2181 0.6184 1
Mo2 Mo 0.6297 0.6297 0.7829 1
C1 C 0.4228 0.4228 0.6969 1
```

Computed properties:
density = 7.43 g/cm³
total moment = 0.00 μB/f.u.
total DFT energy (no corrections) = -7.88 eV per atom

Entry 2:
This record from the Open Quantum Materials Database describes a geometry-optimized NaSnTeAuS2 structure. The functional is PBE.

Cell and atoms, written as CIF:
```
data_NaSnTeAuS2
_chemical_formula_sum 'Na2 Sn2 Te2 Au2 S4'
_space_group_name_H-M_alt 'P 1'
_space_group_IT_number 1
_space_group_name_Hall 'P 1'
_cell_length_a 7.9727
_cell_length_b 7.9727
_cell_length_c 11.1386
_cell_angle_alpha 90.00
_cell_angle_beta 90.00
_cell_angle_gamma 152.72
loop_
_atom_site_label
_atom_site_type_symbol
_atom_site_fract_x
_atom_site_fract_y
_atom_site_fract_z
_atom_site_occupancy
Na1 Na 0.2327 0.7673 0.7500 1
Na2 Na 0.7673 0.2327 0.2500 1
Sn1 Sn 0.5000 0.5000 0.0000 1
Sn2 Sn 0.5000 0.5000 0.5000 1
Te1 Te 0.4303 0.5697 0.2500 1
Te2 Te 0.5697 0.4303 0.7500 1
Au1 Au 0.1184 0.8816 0.2500 1
Au2 Au 0.8816 0.1184 0.7500 1
S1 S 0.1195 0.8805 0.0416 1
S2 S 0.1195 0.8805 0.4584 1
S3 S 0.8805 0.1195 0.5416 1
S4 S 0.8805 0.1195 0.9584 1
```

Computed properties:
density = 5.43 g/cm³
total DFT energy (no corrections) = -3.71 eV per atom

Entry 3:
This record from the Open Quantum Materials Database describes a geometry-optimized ZrScNO structure. The functional is PBE.

Cell and atoms, written as CIF:
```
data_ZrScNO
_chemical_formula_sum 'Zr2 Sc2 N2 O2'
_space_group_name_H-M_alt 'P 1'
_space_group_IT_number 1
_space_group_name_Hall 'P 1'
_cell_length_a 4.1309
_cell_length_b 4.1309
_cell_length_c 6.9812
_cell_angle_alpha 90.00
_cell_angle_beta 90.00
_cell_angle_gamma 90.00
loop_
_atom_site_label
_atom_site_type_symbol
_atom_site_fract_x
_atom_site_fract_y
_atom_site_fract_z
_atom_site_occupancy
Zr1 Zr 0.2500 0.7500 0.0000 1
Zr2 Zr 0.7500 0.2500 0.0000 1
Sc1 Sc 0.2500 0.2500 0.4094 1
Sc2 Sc 0.7500 0.7500 0.5906 1
N1 N 0.2500 0.2500 0.1100 1
N2 N 0.7500 0.7500 0.8900 1
O1 O 0.2500 0.7500 0.5000 1
O2 O 0.7500 0.2500 0.5000 1
```

Computed properties:
density = 4.63 g/cm³
total moment = 0.00 μB/f.u.
total DFT energy (no corrections) = -9.09 eV per atom
energy above the most stable polymorph in this dataset = 11.2 kJ per mole of atoms

Entry 4:
This record from the Open Quantum Materials Database describes a geometry-optimized LiAcNd structure. The functional is PBE.

Cell and atoms, written as CIF:
```
data_LiAcNd
_chemical_formula_sum 'Li1 Ac1 Nd1'
_space_group_name_H-M_alt 'P 1'
_space_group_IT_number 1
_space_group_name_Hall 'P 1'
_cell_length_a 5.3245
_cell_length_b 5.3245
_cell_length_c 5.3245
_cell_angle_alpha 60.00
_cell_angle_beta 60.00
_cell_angle_gamma 60.00
loop_
_atom_site_label
_atom_site_type_symbol
_atom_site_fract_x
_atom_site_fract_y
_atom_site_fract_z
_atom_site_occupancy
Li1 Li 0.0000 0.0000 0.0000 1
Ac1 Ac 0.7500 0.7500 0.7500 1
Nd1 Nd 0.2500 0.2500 0.2500 1
```

Computed properties:
density = 5.88 g/cm³
total moment = 1.03 μB/f.u.
total DFT energy (no corrections) = -3.16 eV per atom
energy above the most stable polymorph in this dataset = 0.0 kJ per mole of atoms

Entry 5:
This record from the Open Quantum Materials Database describes a geometry-optimized LuScCuSn structure. The functional is PBE.

Cell and atoms, written as CIF:
```
data_LuScCuSn
_chemical_formula_sum 'Lu1 Sc1 Cu1 Sn1'
_space_group_name_H-M_alt 'P 1'
_space_group_IT_number 1
_space_group_name_Hall 'P 1'
_cell_length_a 4.9397
_cell_length_b 4.9397
_cell_length_c 4.9397
_cell_angle_alpha 60.00
_cell_angle_beta 60.00
_cell_angle_gamma 60.00
loop_
_atom_site_label
_atom_site_type_symbol
_atom_site_fract_x
_atom_site_fract_y
_atom_site_fract_z
_atom_site_occupancy
Lu1 Lu 0.0000 0.0000 0.0000 1
Sc1 Sc 0.2500 0.2500 0.2500 1
Cu1 Cu 0.7500 0.7500 0.7500 1
Sn1 Sn 0.5000 0.5000 0.5000 1
```

Computed properties:
density = 7.84 g/cm³
total moment = 0.03 μB/f.u.
total DFT energy (no corrections) = -4.67 eV per atom
energy above the most stable polymorph in this dataset = 0.0 kJ per mole of atoms

Entry 6:
This record from the Open Quantum Materials Database describes a geometry-optimized HfPOsO structure. The functional is PBE.

Cell and atoms, written as CIF:
```
data_HfPOsO
_chemical_formula_sum 'Hf2 P2 Os2 O2'
_space_group_name_H-M_alt 'P 1'
_space_group_IT_number 1
_space_group_name_Hall 'P 1'
_cell_length_a 4.1560
_cell_length_b 5.4144
_cell_length_c 5.3207
_cell_angle_alpha 90.00
_cell_angle_beta 90.00
_cell_angle_gamma 90.00
loop_
_atom_site_label
_atom_site_type_symbol
_atom_site_fract_x
_atom_site_fract_y
_atom_site_fract_z
_atom_site_occupancy
Hf1 Hf 0.0000 0.2197 0.0000 1
Hf2 Hf 0.0000 0.7803 0.5000 1
P1 P 0.0000 0.2690 0.5047 1
P2 P 0.0000 0.7310 0.0047 1
Os1 Os 0.5000 0.4461 0.6655 1
Os2 Os 0.5000 0.5539 0.1655 1
O1 O 0.5000 0.2021 0.9711 1
O2 O 0.5000 0.7979 0.4711 1
```

Computed properties:
density = 11.53 g/cm³
total moment = 0.00 μB/f.u.
total DFT energy (no corrections) = -8.90 eV per atom
energy above the most stable polymorph in this dataset = 46.2 kJ per mole of atoms